# SmPdPbSe3

A geometry-optimized SmPdPbSe3 structure (PBE, OQMD).

Properties
Mass density in g/cm3: 7.68
Final energy in eV per cell: -119.51

Cell and atoms, written as CIF:
```
data_SmPdPbSe3
_chemical_formula_sum 'Sm4 Pd4 Pb4 Se12'
_cell_length_a 3.969
_cell_length_b 14.265
_cell_length_c 10.706
_cell_angle_alpha 90.00
_cell_angle_beta 90.00
_cell_angle_gamma 90.00
_symmetry_space_group_name_H-M 'C m c m'
_symmetry_Int_Tables_number 63
_symmetry_space_group_name_Hall '-C 2c 2'
loop_
_atom_site_label
_atom_site_type_symbol
_atom_site_fract_x
_atom_site_fract_y
_atom_site_fract_z
Sm1 Sm 0.000 0.000 0.000
Pd1 Pd 0.000 0.471 0.250
Pb1 Pb 0.000 0.224 0.750
Se1 Se 0.000 0.084 0.250
Se2 Se 0.000 0.354 0.060
```



# ZnSb

A geometry-optimized ZnSb structure (PBE, OQMD).

Properties
Mass density in g/cm3: 5.94
Final energy in eV per cell: -43.07

Cell and atoms, written as CIF:
```
data_ZnSb
_chemical_formula_sum 'Zn8 Sb8'
_cell_length_a 7.480
_cell_length_b 7.480
_cell_length_c 7.480
_cell_angle_alpha 90.00
_cell_angle_beta 90.00
_cell_angle_gamma 90.00
_symmetry_space_group_name_H-M 'P a -3'
_symmetry_Int_Tables_number 205
_symmetry_space_group_name_Hall '-P 2ac 2ab 3'
loop_
_atom_site_label
_atom_site_type_symbol
_atom_site_fract_x
_atom_site_fract_y
_atom_site_fract_z
Zn1 Zn 0.129 0.129 0.129
Sb1 Sb 0.111 0.611 0.889
```



# Nd3Tl

A geometry-optimized Nd3Tl structure (PBE, OQMD).

Properties
Mass density in g/cm3: 8.56
Final energy in eV per cell: -17.50

Cell and atoms, written as CIF:
```
data_Nd3Tl
_chemical_formula_sum 'Nd3 Tl1'
_cell_length_a 4.976
_cell_length_b 4.976
_cell_length_c 4.990
_cell_angle_alpha 90.00
_cell_angle_beta 90.00
_cell_angle_gamma 90.00
_symmetry_space_group_name_H-M 'P 4/m m m'
_symmetry_Int_Tables_number 123
_symmetry_space_group_name_Hall '-P 4 2'
loop_
_atom_site_label
_atom_site_type_symbol
_atom_site_fract_x
_atom_site_fract_y
_atom_site_fract_z
Nd1 Nd 0.000 0.000 0.000
Nd2 Nd 0.000 0.500 0.500
Tl1 Tl 0.500 0.500 0.000
```



# SmTm2Sb2

A geometry-optimized SmTm2Sb2 structure (PBE, OQMD).

Properties
Mass density in g/cm3: 7.95
Final energy in eV per cell: -25.63

Cell and atoms, written as CIF:
```
data_SmTm2Sb2
_chemical_formula_sum 'Sm1 Tm2 Sb2'
_cell_length_a 4.6587
_cell_length_b 4.6587
_cell_length_c 8.1295
_cell_angle_alpha 90.00
_cell_angle_beta 90.00
_cell_angle_gamma 120.00
_symmetry_space_group_name_H-M 'P -3 m 1'
_symmetry_Int_Tables_number 164
_symmetry_space_group_name_Hall '-P 3 2"'
loop_
_atom_site_label
_atom_site_type_symbol
_atom_site_fract_x
_atom_site_fract_y
_atom_site_fract_z
Sm1 Sm 0.0000 0.0000 0.0000
Tm1 Tm 0.3333 0.6667 0.6311
Sb1 Sb 0.3333 0.6667 0.2142
```



# KTePbAuS2

A geometry-optimized KTePbAuS2 structure (PBE, OQMD).

Properties
Mass density in g/cm3: 5.52
Final energy in eV per cell: -86.10

Cell and atoms, written as CIF:
```
data_KTePbAuS2
_chemical_formula_sum 'K4 Te4 Pb4 Au4 S8'
_cell_length_a 3.928
_cell_length_b 17.098
_cell_length_c 11.379
_cell_angle_alpha 90.00
_cell_angle_beta 90.00
_cell_angle_gamma 90.00
_symmetry_space_group_name_H-M 'C m c m'
_symmetry_Int_Tables_number 63
_symmetry_space_group_name_Hall '-C 2c 2'
loop_
_atom_site_label
_atom_site_type_symbol
_atom_site_fract_x
_atom_site_fract_y
_atom_site_fract_z
K1 K 0.000 0.239 0.250
Te1 Te 0.000 0.431 0.750
Pb1 Pb 0.000 0.500 0.000
Au1 Au 0.000 0.107 0.750
S1 S 0.000 0.115 0.548
```



# DyHo2Co6Ni3

A geometry-optimized DyHo2Co6Ni3 structure (PBE, OQMD).

Properties
Mass density in g/cm3: 10.00
Energy of formation in meV/atom: -261
Final energy in eV per cell: -228.70

Cell and atoms, written as CIF:
```
data_DyHo2Co6Ni3
_chemical_formula_sum 'Dy3 Ho6 Co18 Ni9'
_cell_length_a 4.8866
_cell_length_b 4.8866
_cell_length_c 24.6276
_cell_angle_alpha 90.00
_cell_angle_beta 90.00
_cell_angle_gamma 120.00
_symmetry_space_group_name_H-M 'R -3 m'
_symmetry_Int_Tables_number 166
_symmetry_space_group_name_Hall '-R 3 2"'
loop_
_atom_site_label
_atom_site_type_symbol
_atom_site_fract_x
_atom_site_fract_y
_atom_site_fract_z
Dy1 Dy 0.0000 0.0000 0.0000
Ho1 Ho 0.0000 0.0000 0.1392
Co1 Co 0.0007 0.5004 0.9184
Ni1 Ni 0.0000 0.0000 0.3333
Ni2 Ni 0.0000 0.0000 0.5000
```



# Nd2GdSbO6

A geometry-optimized Nd2GdSbO6 structure (PBE, OQMD).

Properties
Mass density in g/cm3: 7.33
Final energy in eV per cell: -72.94

Cell and atoms, written as CIF:
```
data_Nd2GdSbO6
_chemical_formula_sum 'Nd2 Gd1 Sb1 O6'
_cell_length_a 5.327
_cell_length_b 5.395
_cell_length_c 6.194
_cell_angle_alpha 107.37
_cell_angle_beta 113.02
_cell_angle_gamma 97.29
_symmetry_space_group_name_H-M 'P -1'
_symmetry_Int_Tables_number 2
loop_
_symmetry_equiv_pos_as_xyz
'x,y,z'
'-x,-y,-z'
loop_
_atom_site_label
_atom_site_type_symbol
_atom_site_fract_x
_atom_site_fract_y
_atom_site_fract_z
Nd1 Nd 0.230 0.231 0.495
Gd1 Gd 0.000 0.500 0.000
Sb1 Sb 0.500 0.000 0.000
O1 O 0.176 0.160 0.849
O2 O 0.194 0.646 0.752
O3 O 0.383 0.912 0.246
```



# Cu2Ag

A geometry-optimized Cu2Ag structure (PBE, OQMD).

Properties
Mass density in g/cm3: 9.39
Energy of formation in meV/atom: 81
Final energy in eV per cell: -60.08
Energy above the most stable polymorph in this dataset in meV per atom: 36

Cell and atoms, written as CIF:
```
data_Cu2Ag
_chemical_formula_sum 'Cu12 Ag6'
_cell_length_a 9.273
_cell_length_b 2.793
_cell_length_c 10.364
_cell_angle_alpha 90.00
_cell_angle_beta 111.70
_cell_angle_gamma 90.00
_symmetry_space_group_name_H-M 'C 1 m 1'
_symmetry_Int_Tables_number 8
loop_
_symmetry_equiv_pos_as_xyz
'x,y,z'
'x,-y,z'
'x+1/2,y+1/2,z'
'x+1/2,-y+1/2,z'
loop_
_atom_site_label
_atom_site_type_symbol
_atom_site_fract_x
_atom_site_fract_y
_atom_site_fract_z
Cu1 Cu 0.000 0.000 0.000
Cu2 Cu 0.000 0.000 0.334
Cu3 Cu 0.183 0.500 0.927
Cu4 Cu 0.325 0.000 0.807
Cu5 Cu 0.358 0.000 0.455
Cu6 Cu 0.360 0.000 0.119
Ag1 Ag 0.005 0.000 0.701
Ag2 Ag 0.177 0.500 0.560
Ag3 Ag 0.180 0.500 0.227
```



# LiZrGaPt

A geometry-optimized LiZrGaPt structure (PBE, OQMD).

Properties
Mass density in g/cm3: 9.44
Final energy in eV per cell: -91.57
Energy above the most stable polymorph in this dataset in meV per atom: 0

Cell and atoms, written as CIF:
```
data_LiZrGaPt
_chemical_formula_sum 'Li4 Zr4 Ga4 Pt4'
_cell_length_a 6.343
_cell_length_b 6.343
_cell_length_c 6.343
_cell_angle_alpha 90.00
_cell_angle_beta 90.00
_cell_angle_gamma 90.00
_symmetry_space_group_name_H-M 'F -4 3 m'
_symmetry_Int_Tables_number 216
_symmetry_space_group_name_Hall 'F -4 2 3'
loop_
_atom_site_label
_atom_site_type_symbol
_atom_site_fract_x
_atom_site_fract_y
_atom_site_fract_z
Li1 Li 0.000 0.000 0.000
Zr1 Zr 0.250 0.250 0.750
Ga1 Ga 0.250 0.250 0.250
Pt1 Pt 0.000 0.000 0.500
```



# UReB4

A geometry-optimized UReB4 structure (PBE, OQMD).

Properties
Mass density in g/cm3: 12.67
Final energy in eV per cell: -214.62
Energy above the most stable polymorph in this dataset in meV per atom: 0

Cell and atoms, written as CIF:
```
data_UReB4
_chemical_formula_sum 'U4 Re4 B16'
_cell_length_a 7.291
_cell_length_b 9.332
_cell_length_c 3.603
_cell_angle_alpha 90.00
_cell_angle_beta 90.00
_cell_angle_gamma 90.00
_symmetry_space_group_name_H-M 'C m m m'
_symmetry_Int_Tables_number 65
_symmetry_space_group_name_Hall '-C 2 2'
loop_
_atom_site_label
_atom_site_type_symbol
_atom_site_fract_x
_atom_site_fract_y
_atom_site_fract_z
U1 U 0.000 0.200 0.000
Re1 Re 0.187 0.500 0.000
B1 B 0.000 0.407 0.500
B2 B 0.120 0.000 0.500
B3 B 0.224 0.340 0.500
```



# TmMgSi2P4

A geometry-optimized TmMgSi2P4 structure (PBE, OQMD).

Properties
Mass density in g/cm3: 3.59
Final energy in eV per cell: -83.50

Cell and atoms, written as CIF:
```
data_TmMgSi2P4
_chemical_formula_sum 'Tm2 Mg2 Si4 P8'
_cell_length_a 6.012
_cell_length_b 6.012
_cell_length_c 9.566
_cell_angle_alpha 90.00
_cell_angle_beta 90.00
_cell_angle_gamma 90.00
_symmetry_space_group_name_H-M 'I -4'
_symmetry_Int_Tables_number 82
loop_
_symmetry_equiv_pos_as_xyz
'x,y,z'
'y,-x,-z'
'-x,-y,z'
'-y,x,-z'
'x+1/2,y+1/2,z+1/2'
'y+1/2,-x+1/2,-z+1/2'
'-x+1/2,-y+1/2,z+1/2'
'-y+1/2,x+1/2,-z+1/2'
loop_
_atom_site_label
_atom_site_type_symbol
_atom_site_fract_x
_atom_site_fract_y
_atom_site_fract_z
Tm1 Tm 0.000 0.000 0.000
Mg1 Mg 0.000 0.500 0.250
Si1 Si 0.000 0.000 0.500
Si2 Si 0.000 0.500 0.750
P1 P 0.198 0.239 0.632
```



# Gd2YIn3Pt2Au

A geometry-optimized Gd2YIn3Pt2Au structure (PBE, OQMD).

Properties
Mass density in g/cm3: 10.94
Final energy in eV per cell: -95.19

Cell and atoms, written as CIF:
```
data_Gd2YIn3Pt2Au
_chemical_formula_sum 'Gd4 Y2 In6 Pt4 Au2'
_cell_length_a 3.841
_cell_length_b 13.517
_cell_length_c 7.807
_cell_angle_alpha 90.00
_cell_angle_beta 90.00
_cell_angle_gamma 90.00
_symmetry_space_group_name_H-M 'A m m 2'
_symmetry_Int_Tables_number 38
loop_
_symmetry_equiv_pos_as_xyz
'x,y,z'
'-x,-y,z'
'-x,y,z'
'x,-y,z'
'x,y+1/2,z+1/2'
'-x,-y+1/2,z+1/2'
'-x,y+1/2,z+1/2'
'x,-y+1/2,z+1/2'
loop_
_atom_site_label
_atom_site_type_symbol
_atom_site_fract_x
_atom_site_fract_y
_atom_site_fract_z
Gd1 Gd 0.000 0.204 0.000
Y1 Y 0.000 0.000 0.388
In1 In 0.500 0.000 0.065
In2 In 0.500 0.134 0.661
Pt1 Pt 0.500 0.167 0.296
Au1 Au 0.000 0.000 0.796
```



Repeat the tenth record exactly.
# UReB4

A geometry-optimized UReB4 structure (PBE, OQMD).

Properties
Mass density in g/cm3: 12.67
Final energy in eV per cell: -214.62
Energy above the most stable polymorph in this dataset in meV per atom: 0

Cell and atoms, written as CIF:
```
data_UReB4
_chemical_formula_sum 'U4 Re4 B16'
_cell_length_a 7.291
_cell_length_b 9.332
_cell_length_c 3.603
_cell_angle_alpha 90.00
_cell_angle_beta 90.00
_cell_angle_gamma 90.00
_symmetry_space_group_name_H-M 'C m m m'
_symmetry_Int_Tables_number 65
_symmetry_space_group_name_Hall '-C 2 2'
loop_
_atom_site_label
_atom_site_type_symbol
_atom_site_fract_x
_atom_site_fract_y
_atom_site_fract_z
U1 U 0.000 0.200 0.000
Re1 Re 0.187 0.500 0.000
B1 B 0.000 0.407 0.500
B2 B 0.120 0.000 0.500
B3 B 0.224 0.340 0.500
```